# 1
Material: CeAlSi2
Method: DFT, PBE
State: optimized geometry

Cell and atoms, written as POSCAR:
```
CeAlSi2
1.0
4.109 0.000 0.000
0.000 10.931 0.000
0.000 0.000 13.497
Si Ce Al
16 8 8
direct
0.250 0.040 0.026 Si
0.750 0.931 0.631 Si
0.750 0.735 0.714 Si
0.250 0.235 0.786 Si
0.250 0.265 0.286 Si
0.250 0.069 0.369 Si
0.250 0.228 0.109 Si
0.750 0.569 0.131 Si
0.750 0.772 0.891 Si
0.750 0.960 0.974 Si
0.750 0.540 0.474 Si
0.250 0.431 0.869 Si
0.750 0.728 0.391 Si
0.250 0.460 0.526 Si
0.750 0.765 0.214 Si
0.250 0.272 0.609 Si
0.750 0.259 0.447 Ce
0.750 0.241 0.947 Ce
0.750 0.046 0.198 Ce
0.250 0.741 0.553 Ce
0.250 0.759 0.053 Ce
0.750 0.454 0.698 Ce
0.250 0.546 0.302 Ce
0.250 0.954 0.802 Ce
0.750 0.548 0.939 Al
0.250 0.655 0.805 Al
0.750 0.155 0.695 Al
0.750 0.345 0.195 Al
0.250 0.845 0.305 Al
0.250 0.048 0.561 Al
0.250 0.452 0.061 Al
0.750 0.952 0.439 Al
```

Output
electronic total energy	-5.60	eV per atom
SG	Pnma

=====

# 2
Material: Ce6AlSi2
Method: DFT, PBE
State: optimized geometry

Cell and atoms, written as POSCAR:
```
Ce6AlSi2
1.0
-7.346 2.071 3.551
1.962 -8.105 1.144
6.211 4.451 3.531
Si Ce Al
4 12 2
direct
0.500 0.616 0.116 Si
0.626 0.000 0.626 Si
0.374 0.000 0.374 Si
0.500 0.384 0.884 Si
0.535 0.728 0.807 Ce
0.078 0.272 0.807 Ce
0.210 0.744 0.954 Ce
0.724 0.409 0.685 Ce
0.465 0.272 0.193 Ce
0.790 0.744 0.534 Ce
0.922 0.728 0.193 Ce
0.276 0.961 0.685 Ce
0.210 0.256 0.466 Ce
0.276 0.591 0.315 Ce
0.724 0.039 0.315 Ce
0.790 0.256 0.046 Ce
0.000 0.000 0.000 Al
0.000 0.500 0.500 Al
```

Output
electronic total energy	-5.90	eV per atom
SG	Immm

=====

# 3
Material: CeAlSi2
Method: DFT, PBE
State: optimized geometry

Cell and atoms, written as POSCAR:
```
CeAlSi2
1.0
-2.591 1.374 -0.782
0.956 -1.093 -5.085
-2.734 -3.579 2.771
Si Al Ce
2 1 1
direct
0.500 0.553 0.946 Si
0.500 0.054 0.447 Si
0.500 0.554 0.446 Al
0.000 0.054 0.946 Ce
```

Output
electronic total energy	-5.42	eV per atom
SG	Cmmm

=====

# 4
Material: Ce3AlSi2
Method: DFT, PBE
State: optimized geometry

Cell and atoms, written as POSCAR:
```
Ce3AlSi2
1.0
-3.070 -3.918 -3.555
3.863 1.155 -4.610
3.899 -4.016 6.321
Si Ce Al
4 6 2
direct
0.914 0.628 0.256 Si
0.086 0.372 0.744 Si
0.658 0.872 0.744 Si
0.342 0.128 0.256 Si
0.551 0.334 0.668 Ce
0.116 0.834 0.668 Ce
0.500 0.750 0.000 Ce
0.884 0.166 0.332 Ce
0.449 0.666 0.332 Ce
0.500 0.250 0.000 Ce
0.000 0.750 0.000 Al
0.000 0.250 0.000 Al
```

Output
SG	C2/c
polymorph energy (0 for the lowest one)	137	meV per atom

=====

# 5
Material: Ce2Sm2AlSi4
Method: DFT, PBE
State: optimized geometry

Cell and atoms, written as POSCAR:
```
Ce2Sm2AlSi4
1.0
6.521 0.225 0.325
-2.933 5.829 -0.325
-2.933 -2.352 5.343
Si Al Ce Sm
4 1 2 2
direct
0.000 0.245 0.755 Si
0.489 0.245 0.245 Si
0.511 0.755 0.755 Si
0.000 0.755 0.245 Si
0.000 0.000 0.000 Al
0.000 0.670 0.670 Ce
0.000 0.330 0.330 Ce
0.500 0.750 0.250 Sm
0.500 0.250 0.750 Sm
```

Output
electronic total energy	-5.35	eV per atom
SG	I4/mmm

=====

# 6
Material: Ce2SmAl2Si2
Method: DFT, PBE
State: optimized geometry

Cell and atoms, written as POSCAR:
```
Ce2SmAl2Si2
1.0
-1.501 -2.327 3.294
2.462 -0.659 3.467
-3.089 6.703 6.137
Sm Ce Al Si
1 2 2 2
direct
0.000 0.000 0.000 Sm
0.862 0.862 0.415 Ce
0.138 0.138 0.585 Ce
0.594 0.594 0.217 Al
0.406 0.406 0.783 Al
0.737 0.737 0.788 Si
0.263 0.263 0.212 Si
```

Output
electronic total energy	-5.39	eV per atom
SG	R-3m

=====

# 7
Material: Tb2Ce2AlSi4
Method: DFT, PBE
State: optimized geometry

Cell and atoms, written as POSCAR:
```
Tb2Ce2AlSi4
1.0
-5.703 2.779 1.405
0.735 -1.744 -6.216
0.995 -5.773 2.811
Si Tb Al Ce
4 2 1 2
direct
0.490 0.245 0.245 Si
0.000 0.245 0.755 Si
0.510 0.755 0.755 Si
0.000 0.755 0.245 Si
0.500 0.750 0.250 Tb
0.500 0.250 0.750 Tb
0.000 0.000 0.000 Al
0.000 0.328 0.328 Ce
0.000 0.672 0.672 Ce
```

Output
electronic total energy	-5.31	eV per atom
SG	I4/mmm

=====

# 8
Material: CeAlSi2Tc
Method: DFT, PBE
State: optimized geometry

Cell and atoms, written as POSCAR:
```
CeAlSi2Tc
1.0
3.973 0.000 0.000
0.000 3.973 0.000
-1.987 -1.987 5.484
Si Tc Al Ce
2 1 1 1
direct
0.610 0.610 0.221 Si
0.390 0.390 0.779 Si
0.250 0.750 0.500 Tc
0.750 0.250 0.500 Al
0.000 0.000 0.000 Ce
```

Output
electronic total energy	-6.77	eV per atom
SG	I-4m2

=====

# 9
Material: CeAl2SiTc2
Method: DFT, PBE
State: optimized geometry

Cell and atoms, written as POSCAR:
```
CeAl2SiTc2
1.0
4.513 0.000 0.000
0.000 4.513 0.000
0.000 0.000 5.651
Al Si Tc Ce
2 1 2 1
direct
0.500 0.500 0.255 Al
0.500 0.500 0.745 Al
0.000 0.000 0.000 Si
0.500 0.000 0.000 Tc
0.000 0.500 0.000 Tc
0.000 0.000 0.500 Ce
```

Output
electronic total energy	-6.92	eV per atom
SG	P4/mmm

=====

# 10
Material: CeAl2SiTc
Method: DFT, PBE
State: optimized geometry

Cell and atoms, written as POSCAR:
```
CeAl2SiTc
1.0
-2.180 -0.026 -2.763
-2.581 -2.735 2.062
-0.588 5.915 2.649
Al Si Tc Ce
2 1 1 1
direct
0.050 0.050 0.099 Al
0.711 0.211 0.423 Al
0.831 0.831 0.662 Si
0.181 0.681 0.362 Tc
0.439 0.439 0.878 Ce
```

Output
electronic total energy	-6.28	eV per atom
SG	Imm2

=====

# 11
Material: CeAlSiTc
Method: DFT, PBE
State: optimized geometry

Cell and atoms, written as POSCAR:
```
CeAlSiTc
1.0
-2.780 -3.179 0.174
0.036 -2.661 3.284
-4.162 1.027 3.598
Si Tc Al Ce
1 1 1 1
direct
0.010 0.010 0.970 Si
0.323 0.323 0.030 Tc
0.592 0.592 0.223 Al
0.800 0.800 0.599 Ce
```

Output
electronic total energy	-6.78	eV per atom
SG	R3m

=====

# 12
Material: Ce2Th2AlSi4
Method: DFT, PBE
State: optimized geometry

Cell and atoms, written as POSCAR:
```
Ce2Th2AlSi4
1.0
-3.569 -5.050 2.042
6.428 -0.757 0.714
-0.837 5.475 3.426
Si Al Th Ce
4 1 2 2
direct
0.000 0.755 0.245 Si
0.489 0.245 0.245 Si
0.511 0.755 0.755 Si
0.000 0.245 0.755 Si
0.000 0.000 0.000 Al
0.500 0.250 0.750 Th
0.500 0.750 0.250 Th
0.000 0.331 0.331 Ce
0.000 0.669 0.669 Ce
```

Output
electronic total energy	-5.94	eV per atom
SG	I4/mmm

=====

no.,total moment (μB per atom)
1,0.0000
2,0.4945
3,0.0000
4,0.2935
5,0.0689
6,0.2524
7,0.0056
8,0.0339
9,0.0660
10,0.0959
11,0.0002
12,0.0579